Density functional theory data (PBE+U) for WCl3F after structural relaxation.

```
WCl3F
1.0
4.9361 0.0000 0.0000
0.0000 4.9361 0.0000
0.0000 0.0000 4.9361
W Cl F
1 3 1
Cartesian
0.0000 0.0000 0.0000
0.0000 0.0000 2.4681
2.4681 0.0000 0.0000
0.0000 2.4681 0.0000
2.4681 2.4681 2.4681
```

Calculated values
As for the total DFT energy (no corrections): -3.4732 eV per atom. The value obtained for the density of states at the Fermi level is 2.203 states/eV/atom.